This record from the Alexandria database describes an optimized crystal structure of MoOs. The functional is GGA-PBEsol.

* formation energy from the elements: 0.0266 eV per atom

Cell lengths 2.7444, 4.7762, 5.2322 Å; angles 117.00, 105.20, 90.00 degrees
Last column: nearest neighbours and their distance in Å.
Positions (direct):
Os 0.1304 0.4662 0.2608  5 Os 2.66-2.80, 7 Mo 2.72-2.76
Os 0.8696 0.5338 0.7392  5 Os 2.66-2.80, 7 Mo 2.72-2.76
Mo 0.6165 0.9511 0.2331  5 Mo 2.61-2.86, 7 Os 2.72-2.76
Mo 0.3835 0.0489 0.7669  5 Mo 2.61-2.86, 7 Os 2.72-2.76

=====

This record from the Alexandria database describes an optimized crystal structure of TiCuHg2. The functional is GGA-PBEsol.

* formation energy from the elements: 0.0020 eV per atom

Cell lengths 4.5655, 4.5655, 4.5655 Å; angles 60.00, 60.00, 60.00 degrees
Last column: nearest neighbours and their distance in Å.
Positions (direct):
Ti 0.0000 0.0000 0.0000  8 Hg 2.80
Hg 0.2500 0.2500 0.2500  4 Cu 2.80, 4 Ti 2.80
Hg 0.7500 0.7500 0.7500  4 Cu 2.80, 4 Ti 2.80
Cu 0.5000 0.5000 0.5000  8 Hg 2.80

=====

This record from the Alexandria database describes an optimized crystal structure of Mg3Co3As4O16. The functional is GGA-PBEsol.

* formation energy without anion corrections: -1423 meV per atom

Cell lengths 5.0657, 8.3674, 15.0109 Å; angles 100.39, 90.00, 90.00 degrees
Last column: nearest neighbours and their distance in Å.
Positions (direct):
O 0.6155 0.3028 0.1557  1 As 1.75, 1 Co 1.94
O 0.2233 0.5150 0.0914  1 As 1.78, 1 Co 1.95
O 0.7140 0.5936 0.1078  1 As 1.72
O 0.3835 0.3053 0.6991  1 As 1.67
O 0.7860 0.0936 0.6078  1 As 1.72
O 0.9215 0.2376 0.9935  1 As 1.71
O 0.3845 0.6972 0.8443  1 As 1.75, 1 Co 1.94
O 0.0885 0.4456 0.2469  1 As 1.74
O 0.4115 0.9456 0.7469  1 As 1.74
O 0.8276 0.4686 0.5729  1 As 1.68
O 0.2140 0.9064 0.3922  1 As 1.72
O 0.6165 0.6947 0.3009  1 As 1.67
O 0.5885 0.0544 0.2531  1 As 1.74
O 0.1165 0.8053 0.1991  1 As 1.67
O 0.1724 0.5314 0.4271  1 As 1.68
O 0.7767 0.4850 0.9086  1 As 1.78, 1 Co 1.95
O 0.6724 0.9686 0.0729  1 As 1.68
O 0.8296 0.8852 0.8709  1 As 1.73
O 0.0785 0.7624 0.0065  1 As 1.71
O 0.3296 0.6148 0.6291  1 As 1.73
O 0.4215 0.2624 0.5065  1 As 1.71
O 0.2860 0.4064 0.8922  1 As 1.72
O 0.1155 0.1972 0.3443  1 As 1.75, 1 Co 1.94
O 0.7233 0.9850 0.4086  1 As 1.78, 1 Co 1.95
O 0.1704 0.1148 0.1291  1 As 1.73
O 0.2767 0.0150 0.5914  1 As 1.78, 1 Co 1.95
O 0.3276 0.0314 0.9271  1 As 1.68
O 0.6704 0.3852 0.3709  1 As 1.73
O 0.8845 0.8028 0.6557  1 As 1.75, 1 Co 1.94
O 0.5785 0.7376 0.4935  1 As 1.71
O 0.9115 0.5544 0.7531  1 As 1.74
O 0.8835 0.1947 0.8009  1 As 1.67
Mg 0.4559 0.5264 0.2100  5 O 1.95-2.17
Mg 0.5441 0.4736 0.7900  5 O 1.95-2.17
Mg 0.5000 0.5000 0.5000  6 O 2.03-2.18
Mg 0.9559 0.9736 0.2900  5 O 1.95-2.17
Mg 0.0441 0.0264 0.7100  5 O 1.95-2.17
Mg 0.0000 0.0000 0.0000  6 O 2.03-2.18
As 0.5057 0.1030 0.1485  4 O 1.68-1.75
As 0.5142 0.8116 0.3970  4 O 1.67-1.78
As 0.4943 0.8970 0.8515  4 O 1.68-1.75
As 0.9943 0.6030 0.6485  4 O 1.68-1.75
As 0.0057 0.3970 0.3515  4 O 1.68-1.75
As 0.0142 0.6884 0.1030  4 O 1.67-1.78
As 0.4858 0.1884 0.6030  4 O 1.67-1.78
As 0.9858 0.3116 0.8970  4 O 1.67-1.78
Co 0.9810 0.3356 0.1251  5 O 1.94-2.09
Co 0.0190 0.6644 0.8749  5 O 1.94-2.09
Co 0.4810 0.1644 0.3749  5 O 1.94-2.09
Co 0.5000 0.5000 0.0000  4 O 1.95-1.99
Co 0.5190 0.8356 0.6251  5 O 1.94-2.09
Co 0.0000 0.0000 0.5000  4 O 1.95-1.99

=====

no.,calculated volume (A^3/atom),final energy (eV/atom)
1,14.60,-11.9653
2,16.82,-3.4455
3,12.04,-6.5297